HfNbS3: relaxed, GGA-PBE.

Crystal system: orthorhombic
Size of the total moment (μB per atom): 0.000
ΔE_f (raw) (eV per atom): -1.214
Energy above the most stable polymorph in this dataset (meV per atom): 0

Cell lengths 3.438, 6.096, 10.030 Å; angles 90.00, 99.87, 90.00 degrees
Atoms (fractional coordinates):
S (0.750, 0.656, 0.499)
S (0.095, 0.817, 0.189)
S (0.250, 0.156, 0.501)
S (0.414, 0.838, 0.828)
S (0.586, 0.338, 0.172)
S (0.905, 0.317, 0.811)
Nb (0.832, 0.968, 0.665)
Nb (0.168, 0.468, 0.335)
Hf (0.338, 0.516, 0.676)
Hf (0.662, 0.016, 0.324)